Compound: SrTi2Pd2
Source: Alexandria via LeMat-Bulk
Functional: PBEsol
Structure: relaxed

Calculated values
Fermi-level density of states	3.271	states/eV per cell
ρ	6.42	g cm⁻³
space-group type	I4/mmm
E_form	-0.31	eV per atom

a = 6.141 Å, b = 6.141 Å, c = 6.141 Å
α = 138.01°, β = 138.01°, γ = 60.89°
Element x y z (fractional)
Sr  0.000  0.000  0.000
Ti  0.250  0.750  0.500
Ti  0.750  0.250  0.500
Pd  0.372  0.372  0.000
Pd  0.628  0.628  0.000